An optimized crystal structure of Rb3Pt2F9. Source: the Alexandria database, functional PBE-GGA.

a = 8.0672 Å, b = 8.0672 Å, c = 8.0672 Å
α = 82.43°, β = 82.43°, γ = 82.43°
Closest atoms and distances in Å follow each position.
Sites, in units of the cell vectors:
F (0.6010, 0.8990, 0.7500)  2 Pt 2.18
Rb (0.7500, 0.0976, 0.4024)  12 F 2.98-3.23
Rb (0.5976, 0.2500, 0.9024)  12 F 2.98-3.23
Rb (0.9024, 0.5976, 0.2500)  12 F 2.98-3.23
Rb (0.4024, 0.7500, 0.0976)  12 F 2.98-3.23
Rb (0.0976, 0.4024, 0.7500)  12 F 2.98-3.23
F (0.2560, 0.0845, 0.9251)  1 Pt 2.05
Rb (0.2500, 0.9024, 0.5976)  12 F 2.98-3.23
Pt (0.3450, 0.3450, 0.3450)  6 F 2.05-2.18
Pt (0.6550, 0.6550, 0.6550)  6 F 2.05-2.18
F (0.3990, 0.1010, 0.2500)  2 Pt 2.18
F (0.2500, 0.3990, 0.1010)  2 Pt 2.18
Pt (0.1550, 0.1550, 0.1550)  6 F 2.05-2.18
F (0.7440, 0.9155, 0.0749)  1 Pt 2.05
F (0.0749, 0.7440, 0.9155)  1 Pt 2.05
F (0.0845, 0.9251, 0.2560)  1 Pt 2.05
F (0.9251, 0.2560, 0.0845)  1 Pt 2.05
F (0.5749, 0.4155, 0.2440)  1 Pt 2.05
F (0.4155, 0.2440, 0.5749)  1 Pt 2.05
F (0.1010, 0.2500, 0.3990)  2 Pt 2.18
F (0.9155, 0.0749, 0.7440)  1 Pt 2.05
F (0.2440, 0.5749, 0.4155)  1 Pt 2.05
F (0.7560, 0.4251, 0.5845)  1 Pt 2.05
F (0.4251, 0.5845, 0.7560)  1 Pt 2.05
F (0.8990, 0.7500, 0.6010)  2 Pt 2.18
Pt (0.8450, 0.8450, 0.8450)  6 F 2.05-2.18
F (0.7500, 0.6010, 0.8990)  2 Pt 2.18
F (0.5845, 0.7560, 0.4251)  1 Pt 2.05

Size of the total moment = 4.0 μB per cell
Formation energy (no corrections) = -1.833 eV per atom
SG = No. 167
Energy = -4.11 eV per atom